# LiMgSe2

A relaxed structure of LiMgSe2 (PBE, Alexandria via LeMat-Bulk).

Cell: 7.4798 7.4798 7.4798 Å, 156.02 150.29 38.54°
Fractional coordinates of all 4 atoms:
Li1 0.4660 0.4660 0.0000
Se1 0.7915 0.2915 0.5000
Se2 0.0428 0.0428 0.0000
Mg1 0.1997 0.6997 0.5000

Output
Crystal system: orthorhombic
DFT total energy: -3.52 eV per atom